Here is a relaxed BINF2 crystal from the Alexandria database. Energies are from PBE.

Unit cell a=4.822 b=4.822 c=2.741 alpha=90.00 beta=90.00 gamma=90.00
Fractional coordinates of all 5 atoms:
B1 0.000 0.000 0.000
I1 0.500 0.500 0.500
N1 0.000 0.000 0.500
F1 0.000 0.500 0.000
F2 0.500 0.000 0.000

Calculated values
Raw total energy in eV/atom: -4.32
Relative energy among the computed polymorphs in meV per atom: 0.0
ΔE_f (raw) in eV/atom: -0.260